A relaxed structure of Ac6In3Te, computed with PBE-GGA.

For the raw formation energy, the calculation gives -397 meV/atom. The theoretical density comes out at 7.71 g/cm3.

The structure belongs to space group Cmc2_1 (No. 36); the cell edges are 12.281, 15.428 and 8.339 Å and the angles 90.00°, 90.00° and 90.00°. The inequivalent atoms are Ac at (0.000, 0.012, 0.000), Ac at (0.000, 0.294, 0.947), Ac at (0.167, 0.301, 0.461), Ac at (0.226, 0.452, 0.839), In at (0.000, 0.481, 0.594), In at (0.134, 0.137, 0.719) and Te at (0.000, 0.165, 0.269).

A relaxed structure of Ac2InTe3, computed with PBE-GGA.

For the raw formation energy, the calculation gives -1049 meV/atom. The theoretical density comes out at 7.16 g/cm3.

The structure belongs to space group Immm (No. 71); the cell edges are 4.204, 5.683 and 18.486 Å and the angles 90.00°, 90.00° and 90.00°. The inequivalent atoms are Ac at (0.000, 0.000, 0.145), In at (0.000, 0.000, 0.500), Te at (0.000, 0.000, 0.325) and Te at (0.000, 0.500, 0.500).